Computed, not measured: crystalline SrBe2B8 at its relaxed geometry at the PBE level of DFT.

Cell: 5.259 4.343 5.485 Å, 75.81 61.35 90.00°
Fractional coordinates of all 11 atoms:
1 B 0.375 0.161 0.251
2 Be 0.229 0.728 0.543
3 B 0.430 0.818 0.141
4 B 0.503 0.530 0.658
5 B 0.570 0.182 0.859
6 B 0.497 0.470 0.342
7 B 0.161 0.470 0.342
8 B 0.839 0.530 0.658
9 B 0.625 0.839 0.749
10 Be 0.771 0.272 0.457
11 Sr 0.000 0.000 0.000

Results
Energy of formation in meV/atom: 96
Mass density in Mg/m³: 3.02